## a
# GGA-PBE La5Ho2Tm4, optimized geometry
# Crystal system: orthorhombic
# D(E_F) (states/eV/f.u.): 18.993
# Size of the total moment (μB/cell): 0.00
data_La5Ho2Tm4
_chemical_formula_sum 'La10 Ho4 Tm8'
_cell_length_a 3.5403
_cell_length_b 9.1908
_cell_length_c 23.7096
_cell_angle_alpha 90.00
_cell_angle_beta 90.00
_cell_angle_gamma 90.00
_symmetry_space_group_name_H-M 'I m m m'
_symmetry_Int_Tables_number 71
_symmetry_space_group_name_Hall '-I 2 2'
loop_
_atom_site_label
_atom_site_fract_x
_atom_site_fract_y
_atom_site_fract_z
La1 0.0000 0.0000 0.0000
La2 0.0000 0.2988 0.3539
Ho1 0.0000 0.5000 0.2302
Tm1 0.0000 0.1811 0.5000
Tm2 0.0000 0.5000 0.0959

---

## b
# GGA-PBE La5Ho2Tm4, optimized geometry
# Crystal system: monoclinic
# D(E_F) (states/eV/f.u.): 15.377
# Size of the total moment (μB/cell): 0.00
data_La5Ho2Tm4
_chemical_formula_sum 'La10 Ho4 Tm8'
_cell_length_a 17.6999
_cell_length_b 3.5541
_cell_length_c 11.7123
_cell_angle_alpha 90.00
_cell_angle_beta 93.91
_cell_angle_gamma 90.00
_symmetry_space_group_name_H-M 'C 1 2/m 1'
_symmetry_Int_Tables_number 12
loop_
_symmetry_equiv_pos_as_xyz
'x,y,z'
'-x,-y,-z'
'-x,y,-z'
'x,-y,z'
'x+1/2,y+1/2,z'
'-x+1/2,-y+1/2,-z'
'-x+1/2,y+1/2,-z'
'x+1/2,-y+1/2,z'
loop_
_atom_site_label
_atom_site_fract_x
_atom_site_fract_y
_atom_site_fract_z
La1 0.0000 0.0000 0.0000
La2 0.0981 0.5000 0.5346
La3 0.1764 0.5000 0.0710
Ho1 0.2156 0.0000 0.3468
Tm1 0.0356 0.5000 0.2615
Tm2 0.1401 0.0000 0.7971

---

Energies relative to the most stable structure are a 9.1; b 0.0, reported in kJ/mol of atoms.